A.
Entry from the Alexandria database: a relaxed structure of GePt2F (PBE).

Cell lengths 4.2930, 4.2930, 4.2930 Å; angles 60.00, 60.00, 60.00 degrees
Closest atoms and distances in Å follow each position.
Positions (direct):
Pt (0.2500, 0.2500, 0.2500)  4 Ge 2.63, 4 F 2.63
Pt (0.7500, 0.7500, 0.7500)  4 Ge 2.63, 4 F 2.63
Ge (0.5000, 0.5000, 0.5000)  8 Pt 2.63
F (0.0000, 0.0000, 0.0000)  8 Pt 2.63

Summary:
- Crystal system: cubic
- Space-group type: Fm-3m, No. 225
- Total magnetic moment: 0.0 μB/f.u.

B.
Entry from the Alexandria database: a relaxed structure of GePt2F (PBE).

Cell lengths 6.7150, 6.7150, 5.4919 Å; angles 52.31, 52.31, 90.00 degrees
Closest atoms and distances in Å follow each position.
Positions (direct):
Pt (0.3750, 0.3655, 0.7500)  2 Ge 2.43, 2 F 2.52
Pt (0.8750, 0.8845, 0.7500)  2 Ge 2.43, 2 F 2.52
Pt (0.1155, 0.6250, 0.2500)  2 Ge 2.43, 2 F 2.52
Pt (0.6345, 0.1250, 0.2500)  2 Ge 2.43, 2 F 2.52
Ge (0.7500, 0.2500, 0.5000)  4 Pt 2.43
Ge (0.0000, 0.0000, 0.0000)  4 Pt 2.43
F (0.5000, 0.5000, 0.0000)  4 Pt 2.52, 2 Ge 2.76
F (0.2500, 0.7500, 0.5000)  4 Pt 2.52, 2 Ge 2.76

Summary:
- Crystal system: tetragonal
- Space-group type: I-42d, No. 122
- Total magnetic moment: 0.0 μB/f.u.

In terms of stability, A leads; the second structure lies 0.105 eV/atom higher.